1.
This record from the Alexandria database describes TiAsWBr2 after structural relaxation. The functional is GGA-PBE.

Properties
M_tot: 4.91 μB/cell
energy above the lowest structure with this stoichiometry: 41 meV/atom
total DFT energy (no corrections): -24.61 eV/cell
D(E_F): 4.6 states/eV/cell
energy relative to the elements, uncorrected: 0.846 eV per atom
volume: 25.405 A^3/atom

a = 4.8633 Å, b = 4.8633 Å, c = 5.3708 Å
α = 90.00°, β = 90.00°, γ = 90.00°
Positions (direct):
Ti  0.0000  0.0000  0.0000
As  0.0000  0.0000  0.5000
W  0.5000  0.5000  0.5000
Br  0.0000  0.5000  0.0000
Br  0.5000  0.0000  0.0000

=====

2.
This record from the Alexandria database describes YTiAsBr2 after structural relaxation. The functional is GGA-PBE.

Properties
M_tot: 2.03 μB/cell
energy above the lowest structure with this stoichiometry: 296 meV/atom
total DFT energy (no corrections): -23.49 eV/cell
D(E_F): 2.4 states/eV/cell
energy relative to the elements, uncorrected: -0.227 eV per atom
volume: 33.102 A^3/atom

a = 5.3714 Å, b = 5.3714 Å, c = 5.7364 Å
α = 90.00°, β = 90.00°, γ = 90.00°
Positions (direct):
Y  0.0000  0.0000  0.0000
Ti  0.5000  0.5000  0.5000
As  0.0000  0.0000  0.5000
Br  0.0000  0.5000  0.0000
Br  0.5000  0.0000  0.0000

=====

3.
This record from the Alexandria database describes YTiAsBr2 after structural relaxation. The functional is GGA-PBE.

Properties
M_tot: 1.40 μB/cell
energy above the lowest structure with this stoichiometry: 0 meV/atom
total DFT energy (no corrections): -24.97 eV/cell
D(E_F): 3.7 states/eV/cell
energy relative to the elements, uncorrected: -0.523 eV per atom
volume: 24.937 A^3/atom

a = 4.8957 Å, b = 4.8957 Å, c = 5.2022 Å
α = 90.00°, β = 90.00°, γ = 90.00°
Positions (direct):
Y  0.0000  0.0000  0.0000
Ti  0.5000  0.5000  0.5000
As  0.5000  0.5000  0.0000
Br  0.0000  0.5000  0.5000
Br  0.5000  0.0000  0.5000

=====

4.
This record from the Alexandria database describes TiZnAs2Br after structural relaxation. The functional is GGA-PBE.

Properties
M_tot: 1.45 μB/cell
energy above the lowest structure with this stoichiometry: 490 meV/atom
total DFT energy (no corrections): -17.42 eV/cell
D(E_F): 4.6 states/eV/cell
energy relative to the elements, uncorrected: 0.543 eV per atom
volume: 23.972 A^3/atom

a = 4.7259 Å, b = 4.7259 Å, c = 5.3667 Å
α = 90.00°, β = 90.00°, γ = 90.00°
Positions (direct):
Ti  0.0000  0.0000  0.0000
Zn  0.5000  0.5000  0.5000
As  0.0000  0.5000  0.5000
As  0.5000  0.0000  0.5000
Br  0.5000  0.5000  0.0000

=====

Q: volume of number 4 (TiZnAs2Br)?
A: 23.972 A^3/atom

=====

Q: D(E_F) of number 1 (TiAsWBr2)?
A: 4.6 states/eV/cell